A plane-wave DFT calculation with GGA-PBEsol was carried out for Ce2Mn17C2 after structural relaxation.

Lattice parameters (Å, degrees): 6.2966 6.2966 6.3255 96.39 96.39 84.19
Closest atoms and distances in Å follow each position.
Fractional coordinates of all 21 atoms:
1 Ce 0.1429 0.1429 0.3389  2 C 2.49
2 Ce 0.8571 0.8571 0.6611  2 C 2.49
3 Mn 0.0000 0.5000 0.0000  10 Mn 2.34-2.58
4 Mn 0.1511 0.1511 0.8683  9 Mn 2.40-2.62
5 Mn 0.1602 0.6370 0.3406  1 C 1.84
6 Mn 0.2235 0.4943 0.7233  1 C 1.88
7 Mn 0.2318 0.7682 0.0000  8 Mn 2.32-2.54
8 Mn 0.3630 0.8398 0.6594  1 C 1.84
9 Mn 0.4042 0.4042 0.0949  8 Mn 2.30-2.58
10 Mn 0.4943 0.2235 0.7233  1 C 1.88
11 Mn 0.5000 0.0000 0.0000  10 Mn 2.34-2.58
12 Mn 0.5000 0.5000 0.5000  10 Mn 2.37-2.58
13 Mn 0.5057 0.7765 0.2767  1 C 1.88
14 Mn 0.5958 0.5958 0.9051  8 Mn 2.30-2.58
15 Mn 0.6370 0.1602 0.3406  1 C 1.84
16 Mn 0.7682 0.2318 0.0000  8 Mn 2.32-2.54
17 Mn 0.7765 0.5057 0.2767  1 C 1.88
18 Mn 0.8398 0.3630 0.6594  1 C 1.84
19 Mn 0.8489 0.8489 0.1317  9 Mn 2.40-2.62
20 C 0.0000 0.5000 0.5000  4 Mn 1.84-1.88
21 C 0.5000 0.0000 0.5000  4 Mn 1.84-1.88

Computed properties:
Calculated volume ... 246.7 Å³ per cell
Crystal system ... monoclinic
N(E_F) ... 23.61 states/eV/cell
Total magnetization ... 1.67 μB/cell
Calculated total energy ... -9.475 eV/atom
Formation enthalpy at 0 K ... -0.56 eV per formula unit
Space-group type ... C2/m (12)